1.
Density functional theory data (PBE-GGA) for a relaxed structure of ZrTlAs2.

The structure belongs to space group F-43m (No. 216); the cell edges are 7.021, 7.021 and 7.021 Å and the angles 90.00°, 90.00° and 90.00°. The asymmetric unit holds Zr at (0.000, 0.000, 0.000), Tl at (0.250, 0.250, 0.750), As at (0.000, 0.000, 0.500) and As at (0.250, 0.250, 0.250).

Its crystal system is cubic. As for the total energy: -4.865 eV per atom. The value obtained for the magnetization is 0.003 μB/f.u.


2.
Density functional theory data (PBE-GGA) for a relaxed structure of ZrTlAs.

The structure belongs to space group F-43m (No. 216); the cell edges are 6.834, 6.834 and 6.834 Å and the angles 90.00°, 90.00° and 90.00°. The asymmetric unit holds Zr at (0.000, 0.000, 0.000), Tl at (0.250, 0.250, 0.750) and As at (0.000, 0.000, 0.500).

Its crystal system is cubic. As for the total energy: -4.615 eV per atom. The value obtained for the magnetization is 0.609 μB/f.u.


3.
Density functional theory data (PBE-GGA) for a relaxed structure of Zr3TlAs5.

The structure belongs to space group P6/mmm (No. 191); the cell edges are 6.0806, 6.0806 and 6.5106 Å and the angles 90.00°, 90.00° and 120.00°. The asymmetric unit holds Zr at (0.0000, 0.5000, 0.0000), Tl at (0.0000, 0.0000, 0.5000), As at (0.0000, 0.0000, 0.0000) and As at (0.3333, 0.6667, 0.3137).

Its crystal system is hexagonal. As for the total energy: -6.124 eV per atom. The value obtained for the magnetization is 0.000 μB/f.u.


What did the first record say?
Density functional theory data (PBE-GGA) for a relaxed structure of ZrTlAs2.

The structure belongs to space group F-43m (No. 216); the cell edges are 7.021, 7.021 and 7.021 Å and the angles 90.00°, 90.00° and 90.00°. The asymmetric unit holds Zr at (0.000, 0.000, 0.000), Tl at (0.250, 0.250, 0.750), As at (0.000, 0.000, 0.500) and As at (0.250, 0.250, 0.250).

Its crystal system is cubic. As for the total energy: -4.865 eV per atom. The value obtained for the magnetization is 0.003 μB/f.u.


Please write out number 3 again, unchanged.
Density functional theory data (PBE-GGA) for a relaxed structure of Zr3TlAs5.

The structure belongs to space group P6/mmm (No. 191); the cell edges are 6.0806, 6.0806 and 6.5106 Å and the angles 90.00°, 90.00° and 120.00°. The asymmetric unit holds Zr at (0.0000, 0.5000, 0.0000), Tl at (0.0000, 0.0000, 0.5000), As at (0.0000, 0.0000, 0.0000) and As at (0.3333, 0.6667, 0.3137).

Its crystal system is hexagonal. As for the total energy: -6.124 eV per atom. The value obtained for the magnetization is 0.000 μB/f.u.